First-principles (PBE) data for TaPd2Rh after structural relaxation, as listed in Alexandria.

Lattice parameters (Å, degrees): 5.726 5.726 5.726 102.21 102.21 125.24
Fractional coordinates of all 8 atoms:
Ta (0.000, 0.000, 0.000)
Ta (0.750, 0.250, 0.500)
Pd (0.107, 0.125, 0.482)
Pd (0.375, 0.893, 0.018)
Pd (0.643, 0.625, 0.518)
Pd (0.875, 0.357, 0.982)
Rh (0.250, 0.750, 0.500)
Rh (0.500, 0.500, 0.000)

Calculated values
**E above lowest polymorph**: 597 meV per atom
**SG**: I-42d
**Fermi-level density of states**: 0.54 states/eV per atom